This record from Alexandria describes SrTlGaCu2 after structural relaxation. The functional is PBE.

Values from the calculation:
Total moment ... 0.0 μB per cell
Uncorrected energy ... -14.7 eV per cell

Lattice parameters (Å, degrees): 4.7672 4.7672 5.4274 90.00 90.00 90.00
Closest atoms and distances in Å follow each position.
Space group P4/mmm (No. 123)
Symmetry-distinct sites (fractional):
Sr 0.0000 0.0000 0.0000 (multiplicity 1)  4 Tl 3.37, 8 Cu 3.61
Tl 0.5000 0.5000 0.0000 (multiplicity 1)  2 Ga 2.71
Ga 0.5000 0.5000 0.5000 (multiplicity 1)  4 Cu 2.38
Cu 0.0000 0.5000 0.5000 (multiplicity 2)  2 Ga 2.38